Entry 1:
# Na4In PBE optimized geometry
data_Na4In
_chemical_formula_sum 'Na4 In1'
_space_group_name_H-M_alt 'P 1'
_space_group_IT_number 1
_space_group_name_Hall 'P 1'
_cell_length_a 5.9881
_cell_length_b 5.9881
_cell_length_c 5.9881
_cell_angle_alpha 90.00
_cell_angle_beta 90.00
_cell_angle_gamma 90.00
loop_
_atom_site_label
_atom_site_fract_x
_atom_site_fract_y
_atom_site_fract_z
Na1 0.5000 0.0000 0.5000
Na2 0.5000 0.5000 0.0000
Na3 0.0000 0.5000 0.5000
Na4 0.0000 0.0000 0.0000
In1 0.5000 0.5000 0.5000
# DFT total energy in eV per atom: -1.46
# ΔH_f (0 K) in meV per atom: 141.5
# Offset from the most stable computed form in meV/atom: 167
# Total moment in μB per atom: 0.000
# Space-group type: Pm-3m

Entry 2:
# Na2In3 PBE optimized geometry
data_Na2In3
_chemical_formula_sum 'Na4 In6'
_space_group_name_H-M_alt 'P 1'
_space_group_IT_number 1
_space_group_name_Hall 'P 1'
_cell_length_a 7.8955
_cell_length_b 7.8955
_cell_length_c 7.1692
_cell_angle_alpha 56.59
_cell_angle_beta 56.59
_cell_angle_gamma 60.00
loop_
_atom_site_label
_atom_site_fract_x
_atom_site_fract_y
_atom_site_fract_z
Na1 0.0893 0.0893 0.7321
In1 0.4834 0.0166 0.2500
In2 0.5166 0.9834 0.7500
In3 0.0166 0.2500 0.2500
Na2 0.4107 0.4107 0.7679
Na3 0.9107 0.9107 0.2679
In4 0.2500 0.4834 0.2500
Na4 0.5893 0.5893 0.2321
In5 0.9834 0.7500 0.7500
In6 0.7500 0.5166 0.7500
# DFT total energy in eV per atom: -2.08
# ΔH_f (0 K) in meV per atom: 87.8
# Offset from the most stable computed form in meV/atom: 175
# Total moment in μB per atom: 0.000
# Space-group type: R-3c

Entry 3:
# Na5In3 PBE optimized geometry
data_Na5In3
_chemical_formula_sum 'Na10 In6'
_space_group_name_H-M_alt 'P 1'
_space_group_IT_number 1
_space_group_name_Hall 'P 1'
_cell_length_a 5.9283
_cell_length_b 9.4015
_cell_length_c 9.4015
_cell_angle_alpha 84.30
_cell_angle_beta 71.62
_cell_angle_gamma 71.62
loop_
_atom_site_label
_atom_site_fract_x
_atom_site_fract_y
_atom_site_fract_z
In1 0.8242 0.5000 0.8516
Na1 0.4253 0.3034 0.8460
Na2 0.7287 0.8460 0.6966
In2 0.2500 0.0000 0.0000
In3 0.6758 0.1484 0.5000
In4 0.1758 0.5000 0.1484
Na3 0.7713 0.3034 0.1540
In5 0.7500 0.0000 0.0000
Na4 0.2500 0.5000 0.5000
In6 0.3242 0.8516 0.5000
Na5 0.2287 0.6966 0.8460
Na6 0.0747 0.1540 0.6966
Na7 0.9253 0.8460 0.3034
Na8 0.5747 0.6966 0.1540
Na9 0.7500 0.5000 0.5000
Na10 0.2713 0.1540 0.3034
# DFT total energy in eV per atom: -1.89
# ΔH_f (0 K) in meV per atom: -39.5
# Offset from the most stable computed form in meV/atom: 11
# Total moment in μB per atom: 0.000
# Space-group type: I4/mcm

Entry 4:
# Na2In3 PBE optimized geometry
data_Na2In3
_chemical_formula_sum 'Na2 In3'
_space_group_name_H-M_alt 'P 1'
_space_group_IT_number 1
_space_group_name_Hall 'P 1'
_cell_length_a 5.2989
_cell_length_b 5.2989
_cell_length_c 6.3677
_cell_angle_alpha 65.41
_cell_angle_beta 65.41
_cell_angle_gamma 60.00
loop_
_atom_site_label
_atom_site_fract_x
_atom_site_fract_y
_atom_site_fract_z
Na1 0.1017 0.1017 0.6950
In1 0.5000 0.5000 0.5000
In2 0.3061 0.3061 0.0817
Na2 0.8983 0.8983 0.3050
In3 0.6939 0.6939 0.9183
# DFT total energy in eV per atom: -2.24
# ΔH_f (0 K) in meV per atom: -69.4
# Offset from the most stable computed form in meV/atom: 18
# Total moment in μB per atom: 0.000
# Space-group type: R-3m

Entry 5:
# Na7In3 PBE optimized geometry
data_Na7In3
_chemical_formula_sum 'Na7 In3'
_space_group_name_H-M_alt 'P 1'
_space_group_IT_number 1
_space_group_name_Hall 'P 1'
_cell_length_a 4.6894
_cell_length_b 7.0792
_cell_length_c 10.4177
_cell_angle_alpha 118.71
_cell_angle_beta 103.01
_cell_angle_gamma 90.00
loop_
_atom_site_label
_atom_site_fract_x
_atom_site_fract_y
_atom_site_fract_z
Na1 0.1992 0.2937 0.3984
In1 0.0000 0.0000 0.0000
Na2 0.6041 0.4133 0.2083
In2 0.7932 0.1779 0.5865
In3 0.2068 0.8221 0.4135
Na3 0.0000 0.5000 0.0000
Na4 0.3971 0.0942 0.7943
Na5 0.8008 0.7063 0.6016
Na6 0.6029 0.9058 0.2057
Na7 0.3959 0.5867 0.7917
# DFT total energy in eV per atom: -1.81
# ΔH_f (0 K) in meV per atom: -61.8
# Total moment in μB per atom: 0.000
# Space-group type: C2/m

Entry 6:
# Na4In PBE optimized geometry
data_Na4In
_chemical_formula_sum 'Na4 In1'
_space_group_name_H-M_alt 'P 1'
_space_group_IT_number 1
_space_group_name_Hall 'P 1'
_cell_length_a 6.2272
_cell_length_b 6.2272
_cell_length_c 6.2272
_cell_angle_alpha 102.94
_cell_angle_beta 102.94
_cell_angle_gamma 123.51
loop_
_atom_site_label
_atom_site_fract_x
_atom_site_fract_y
_atom_site_fract_z
Na1 0.2939 0.7061 0.0000
Na2 0.2939 0.2939 0.5878
In1 0.0000 0.0000 0.0000
Na3 0.7061 0.2939 0.0000
Na4 0.7061 0.7061 0.4122
# DFT total energy in eV per atom: -1.52
# ΔH_f (0 K) in meV per atom: 86.7
# Offset from the most stable computed form in meV/atom: 112
# Total moment in μB per atom: 0.000
# Space-group type: I4/mmm

Entry 7:
# NaIn4 PBE optimized geometry
data_NaIn4
_chemical_formula_sum 'Na4 In16'
_space_group_name_H-M_alt 'P 1'
_space_group_IT_number 1
_space_group_name_Hall 'P 1'
_cell_length_a 6.2572
_cell_length_b 10.7993
_cell_length_c 10.7993
_cell_angle_alpha 90.00
_cell_angle_beta 90.00
_cell_angle_gamma 90.00
loop_
_atom_site_label
_atom_site_fract_x
_atom_site_fract_y
_atom_site_fract_z
In1 0.5000 0.7924 0.8987
In2 0.7760 0.0000 0.0000
In3 0.5000 0.3967 0.8967
Na1 0.0000 0.7604 0.2604
In4 0.5000 0.6013 0.7076
In5 0.5000 0.1013 0.7924
Na2 0.0000 0.2604 0.2396
Na3 0.0000 0.7396 0.7604
In6 0.5000 0.6033 0.1033
In7 0.5000 0.7076 0.3987
In8 0.7760 0.5000 0.5000
In9 0.5000 0.8987 0.2076
In10 0.2240 0.5000 0.5000
In11 0.5000 0.3987 0.2924
In12 0.5000 0.2924 0.6013
In13 0.5000 0.2076 0.1013
Na4 0.0000 0.2396 0.7396
In14 0.2240 0.0000 0.0000
In15 0.5000 0.8967 0.6033
In16 0.5000 0.1033 0.3967
# DFT total energy in eV per atom: -2.34
# ΔH_f (0 K) in meV per atom: 116.5
# Total moment in μB per atom: 0.000
# Space-group type: P4/mbm

Entry 8:
# Na5In24 PBE optimized geometry
data_Na5In24
_chemical_formula_sum 'Na5 In24'
_space_group_name_H-M_alt 'P 1'
_space_group_IT_number 1
_space_group_name_Hall 'P 1'
_cell_length_a 10.1105
_cell_length_b 10.1105
_cell_length_c 10.1105
_cell_angle_alpha 109.47
_cell_angle_beta 109.47
_cell_angle_gamma 109.47
loop_
_atom_site_label
_atom_site_fract_x
_atom_site_fract_y
_atom_site_fract_z
Na1 0.3652 0.0000 0.0000
In1 0.3994 0.3994 0.7192
In2 0.6803 0.2808 0.6803
In3 0.3741 0.3741 0.1826
In4 0.1826 0.3741 0.3741
In5 0.6803 0.6803 0.2808
In6 0.0000 0.3197 0.6006
In7 0.3994 0.7192 0.3994
In8 0.8085 0.6259 0.0000
Na2 0.6348 0.6348 0.6348
In9 0.8174 0.1915 0.1915
In10 0.0000 0.6259 0.8085
In11 0.6006 0.0000 0.3197
In12 0.6259 0.0000 0.8085
In13 0.3197 0.0000 0.6006
In14 0.6259 0.8085 0.0000
Na3 0.0000 0.0000 0.3652
Na4 0.0000 0.3652 0.0000
In15 0.3197 0.6006 0.0000
In16 0.0000 0.8085 0.6259
In17 0.0000 0.6006 0.3197
In18 0.3741 0.1826 0.3741
In19 0.6006 0.3197 0.0000
In20 0.1915 0.8174 0.1915
In21 0.8085 0.0000 0.6259
In22 0.7192 0.3994 0.3994
Na5 0.0000 0.0000 0.0000
In23 0.2808 0.6803 0.6803
In24 0.1915 0.1915 0.8174
# DFT total energy in eV per atom: -2.55
# ΔH_f (0 K) in meV per atom: -59.5
# Total moment in μB per atom: 0.000
# Space-group type: I-43m

Number 3 is which compound? Na5In3

What is the total moment in the seventh record? 0.000 μB per atom